(i)
## Li4Ti3O8 (GGA-PBEsol)

Data for Li4Ti3O8 after structural relaxation.

Cell and atoms, written as POSCAR:
```
Li4Ti3O8
1.0
5.8240 0.0045 0.0258
-2.8546 5.0765 -0.0258
-2.8059 -1.7683 4.7783
Li Ti O
4 3 8
Direct
0.0000 0.5000 0.5000
0.5000 0.0000 0.0000
0.0000 0.5000 0.0000
0.0000 0.0000 0.0000
0.0000 0.0000 0.5000
0.5000 0.5000 0.5000
0.5000 0.0000 0.5000
0.5174 0.7555 0.2729
0.9696 0.7505 0.7201
0.4981 0.7565 0.7172
0.0393 0.7809 0.2828
0.5019 0.2435 0.2828
0.9607 0.2191 0.7172
0.0304 0.2495 0.2799
0.4826 0.2445 0.7271
```

Properties
Space-group type = No. 12
Total moment = 0.0 μB/f.u.
Density = 3.5 g/cm³

---

(ii)
## Li4Ti3O8 (GGA-PBEsol)

Data for Li4Ti3O8 after structural relaxation.

Cell and atoms, written as POSCAR:
```
Li4Ti3O8
1.0
5.7980 -0.0053 -0.0037
2.8751 5.0349 -0.0037
2.8751 1.6673 4.7508
Li Ti O
4 3 8
Direct
0.5000 0.5000 0.0000
0.5000 0.0000 0.5000
0.0000 0.0000 0.0000
0.0000 0.5000 0.5000
0.5000 0.0000 0.0000
0.0000 0.5000 0.0000
0.0000 0.0000 0.5000
0.2463 0.2463 0.2463
0.2156 0.7547 0.7547
0.2453 0.2453 0.7844
0.2453 0.7844 0.2453
0.7547 0.2156 0.7547
0.7547 0.7547 0.2156
0.7844 0.2453 0.2453
0.7537 0.7537 0.7537
```

Properties
Space-group type = No. 166
Total moment = 0.0 μB/f.u.
Density = 3.6 g/cm³

---

(i) is preferred energetically. Next in line: 3.4 kJ/mol of atoms higher.

---

(i)
## Li4Ti5O12 (GGA-PBEsol)

Data for Li4Ti5O12 after structural relaxation.

Cell and atoms, written as POSCAR:
```
Li4Ti5O12
1.0
5.8833 0.0039 -0.0069
0.0205 5.8832 -0.0069
2.8938 2.8856 12.4911
Li Ti O
8 10 24
Direct
0.9636 0.6979 0.0836
0.6275 0.3725 0.7500
0.6979 0.9636 0.5836
0.3021 0.0364 0.4164
0.0000 0.5000 0.5000
0.3725 0.6275 0.2500
0.0364 0.3021 0.9164
0.5000 0.0000 0.0000
0.3361 0.8434 0.8374
0.8374 0.8312 0.3433
0.5000 0.5000 0.0000
0.8434 0.3361 0.3374
0.1688 0.1626 0.1567
0.6639 0.1566 0.1626
0.1626 0.1688 0.6567
0.8312 0.8374 0.8433
0.1566 0.6639 0.6626
0.5000 0.5000 0.5000
0.3818 0.9109 0.6767
0.7408 0.7392 0.4896
0.0484 0.5877 0.3311
0.3980 0.4169 0.6582
0.7417 0.2760 0.4871
0.9109 0.3818 0.1767
0.4169 0.3980 0.1582
0.7240 0.2583 0.0129
0.2608 0.2592 0.0104
0.0612 0.0865 0.3279
0.4123 0.9516 0.1689
0.9135 0.9388 0.1721
0.5877 0.0484 0.8311
0.0865 0.0612 0.8279
0.9388 0.9135 0.6721
0.2760 0.7417 0.9871
0.7392 0.7408 0.9896
0.0891 0.6182 0.8233
0.5831 0.6020 0.8418
0.2583 0.7240 0.5129
0.9516 0.4123 0.6689
0.6020 0.5831 0.3418
0.2592 0.2608 0.5104
0.6182 0.0891 0.3233
```

Properties
Space-group type = No. 15
Total moment = 0.0 μB/f.u.
Density = 3.5 g/cm³

---

(ii)
## Li4Ti5O12 (GGA-PBEsol)

Data for Li4Ti5O12 after structural relaxation.

Cell and atoms, written as POSCAR:
```
Li4Ti5O12
1.0
-1.6073 -1.2983 4.7890
4.9108 -7.7692 1.4307
7.7657 2.5382 5.3447
Li Ti O
8 10 24
Direct
0.1238 0.4121 0.4046
0.3309 0.5739 0.1135
0.2715 0.9052 0.0229
0.3118 0.7746 0.5544
0.6882 0.2254 0.4456
0.7285 0.0948 0.9771
0.6691 0.4261 0.8865
0.8762 0.5879 0.5954
0.2907 0.1019 0.2760
0.1598 0.0989 0.6745
0.1915 0.2568 0.9340
0.1388 0.5959 0.8488
0.4317 0.4107 0.6460
0.5683 0.5893 0.3540
0.8612 0.4041 0.1512
0.8085 0.7432 0.0660
0.8402 0.9011 0.3255
0.7093 0.8981 0.7240
0.0519 0.2629 0.3039
0.2368 0.4231 0.0119
0.3512 0.1004 0.0892
0.1025 0.0982 0.8619
0.0596 0.4251 0.7773
0.1426 0.9301 0.3790
0.3128 0.2614 0.5674
0.2628 0.5698 0.4848
0.6062 0.0721 0.3445
0.1582 0.7311 0.9529
0.5414 0.4232 0.2704
0.4716 0.7309 0.1850
0.5284 0.2691 0.8150
0.4586 0.5768 0.7296
0.8418 0.2689 0.0471
0.3938 0.9279 0.6555
0.7372 0.4302 0.5152
0.6872 0.7386 0.4326
0.8574 0.0699 0.6210
0.9404 0.5749 0.2227
0.8975 0.9018 0.1381
0.6488 0.8996 0.9108
0.7632 0.5769 0.9881
0.9481 0.7371 0.6961
```

Properties
Space-group type = No. 2
Total moment = 0.0 μB/f.u.
Density = 3.5 g/cm³

---

(i) is preferred energetically. Next in line: 3.6 kJ/mol of atoms higher.

---

(i)
## LiTi2O4 (GGA-PBEsol)

Data for LiTi2O4 after structural relaxation.

Cell and atoms, written as POSCAR:
```
LiTi2O4
1.0
3.7912 0.0000 0.0000
0.0000 8.0821 0.0000
0.0000 0.0000 9.0188
Li Ti O
4 8 16
Direct
0.0000 0.8760 0.8340
0.5000 0.6240 0.3340
0.5000 0.3760 0.6660
0.0000 0.1240 0.1660
0.0000 0.8815 0.3928
0.5000 0.6185 0.8928
0.5000 0.3815 0.1072
0.0000 0.1185 0.6072
0.0000 0.3652 0.3855
0.5000 0.1348 0.8855
0.5000 0.8652 0.1145
0.0000 0.6348 0.6145
0.0000 0.8746 0.6128
0.0000 0.3763 0.5994
0.5000 0.6254 0.1128
0.5000 0.1237 0.0994
0.5000 0.8660 0.3482
0.5000 0.3830 0.3459
0.0000 0.6340 0.8482
0.0000 0.1170 0.8459
0.0000 0.6237 0.4006
0.0000 0.1254 0.3872
0.5000 0.8763 0.9006
0.5000 0.3746 0.8872
0.5000 0.6170 0.6541
0.5000 0.1340 0.6518
0.0000 0.8830 0.1541
0.0000 0.3660 0.1518
```

Properties
Space-group type = No. 58
Total moment = 0.0 μB/f.u.
Density = 4.0 g/cm³

---

(ii)
## LiTi2O4 (GGA-PBEsol)

Data for LiTi2O4 after structural relaxation.

Cell and atoms, written as POSCAR:
```
LiTi2O4
1.0
3.8482 0.0000 0.0000
0.0000 8.1192 0.0072
0.0000 -0.0076 8.7812
Li Ti O
4 8 16
Direct
0.5000 0.1245 0.1472
0.5000 0.8755 0.8528
0.0000 0.8755 0.6476
0.0000 0.1245 0.3524
0.5000 0.8542 0.3851
0.0000 0.8542 0.1149
0.0000 0.3876 0.1157
0.0000 0.6124 0.8843
0.0000 0.1458 0.8851
0.5000 0.1458 0.6149
0.5000 0.6124 0.6157
0.5000 0.3876 0.3843
0.0000 0.8806 0.3519
0.0000 0.3671 0.3504
0.5000 0.3671 0.1495
0.5000 0.8806 0.1481
0.0000 0.6239 0.1114
0.0000 0.1231 0.1063
0.0000 0.8769 0.8937
0.0000 0.3761 0.8886
0.5000 0.1194 0.8519
0.5000 0.6329 0.8505
0.0000 0.6329 0.6496
0.0000 0.1194 0.6481
0.5000 0.3761 0.6114
0.5000 0.8769 0.6064
0.5000 0.1231 0.3936
0.5000 0.6239 0.3886
```

Properties
Space-group type = No. 53
Total moment = 0.0 μB/f.u.
Density = 4.0 g/cm³

---

(i) is preferred energetically. Next in line: 1.2 kJ/mol of atoms higher.

---

(i)
## LiTi4O8 (GGA-PBEsol)

Data for LiTi4O8 after structural relaxation.

Cell and atoms, written as POSCAR:
```
LiTi4O8
1.0
5.7367 -0.0068 0.0006
0.5113 7.1420 0.0083
0.2577 1.9672 9.8788
Li Ti O
3 12 24
Direct
0.9947 0.4299 0.9306
0.2521 0.5723 0.3159
0.5078 0.5694 0.5726
0.7484 0.0006 0.7518
0.0017 0.9902 0.0029
0.2547 0.0115 0.2463
0.4962 0.0065 0.4970
0.7346 0.3112 0.2072
0.9714 0.3063 0.4595
0.2239 0.3042 0.7048
0.4841 0.3093 0.9508
0.5153 0.6875 0.0433
0.7745 0.6978 0.2910
0.0114 0.6905 0.5520
0.2790 0.6965 0.7937
0.9756 0.1398 0.1502
0.4692 0.1323 0.6546
0.2191 0.1354 0.4040
0.7284 0.1380 0.9023
0.7089 0.1905 0.3971
0.9572 0.1892 0.6483
0.4675 0.1896 0.1462
0.2028 0.1995 0.9005
0.7152 0.4582 0.0178
0.9719 0.4599 0.2700
0.4686 0.4586 0.7632
0.2245 0.4598 0.5158
0.5364 0.5427 0.2325
0.7837 0.5429 0.4831
0.0311 0.5412 0.7355
0.2778 0.5414 0.9788
0.7837 0.8116 0.1011
0.0469 0.8005 0.3522
0.2976 0.7991 0.5989
0.5406 0.8116 0.8547
0.7728 0.8648 0.5968
0.5252 0.8602 0.3494
0.2744 0.8586 0.1010
0.0290 0.8667 0.8445
```

Properties
Space-group type = No. 1
Total moment = 1.0 μB/f.u.
Density = 4.0 g/cm³

---

(ii)
## LiTi4O8 (GGA-PBEsol)

Data for LiTi4O8 after structural relaxation.

Cell and atoms, written as POSCAR:
```
LiTi4O8
1.0
2.9415 0.0000 0.0000
0.0000 5.0043 -0.0022
0.0000 -0.1897 9.5102
Li Ti O
1 4 8
Direct
0.5000 0.9329 0.4569
0.0000 0.0454 0.8621
0.0000 0.4595 0.3574
0.5000 0.5333 0.6445
0.5000 0.9524 0.1317
0.0000 0.1595 0.2322
0.5000 0.1960 0.9686
0.5000 0.3012 0.4700
0.0000 0.3311 0.7293
0.5000 0.6818 0.2810
0.0000 0.7124 0.5309
0.0000 0.7968 0.0337
0.5000 0.8367 0.7712
```

Properties
Space-group type = No. 6
Total moment = 1.0 μB/f.u.
Density = 3.9 g/cm³

---

(i) is preferred energetically. Next in line: 2.0 kJ/mol of atoms higher.

---

(i)
## Li7Ti16O32 (GGA-PBEsol)

Data for Li7Ti16O32 after structural relaxation.

Cell and atoms, written as POSCAR:
```
Li7Ti16O32
1.0
8.3604 0.0000 0.0000
0.0000 8.3604 0.0000
-4.1802 -4.1802 8.3572
Li Ti O
7 16 32
Direct
0.7500 0.2500 0.5000
0.8726 0.3758 0.2483
0.6242 0.6242 0.7517
0.2500 0.7500 0.5000
0.3758 0.8726 0.2483
0.0000 0.0000 0.0000
0.1274 0.1274 0.7517
0.5618 0.5618 0.3736
0.4382 0.1900 0.1244
0.5618 0.0656 0.8756
0.6862 0.9344 0.1244
0.0623 0.0623 0.3738
0.9344 0.6862 0.1244
0.0656 0.5618 0.8756
0.8100 0.3138 0.8756
0.1900 0.4382 0.1244
0.6885 0.9377 0.6262
0.8118 0.8118 0.3736
0.9377 0.6885 0.6262
0.3138 0.8100 0.8756
0.1882 0.4382 0.6264
0.3115 0.3115 0.3738
0.4382 0.1882 0.6264
0.4558 0.9547 0.6364
0.5814 0.8066 0.3881
0.6939 0.6939 0.6137
0.5442 0.3183 0.3636
0.8066 0.5814 0.3881
0.9547 0.4558 0.6364
0.6693 0.1687 0.1130
0.4438 0.9443 0.1130
0.5562 0.8313 0.8870
0.8194 0.0453 0.3636
0.0803 0.3061 0.3863
0.7112 0.7112 0.1409
0.1934 0.1934 0.6119
0.9314 0.9314 0.1366
0.0453 0.8194 0.3636
0.3061 0.0803 0.3863
0.5702 0.2888 0.8591
0.8313 0.5562 0.8870
0.1687 0.6693 0.1130
0.9443 0.4438 0.1130
0.6817 0.1806 0.6364
0.7949 0.0686 0.8634
0.0557 0.3307 0.8870
0.3183 0.5442 0.3636
0.2051 0.2051 0.1366
0.4298 0.4298 0.1409
0.9197 0.9197 0.6137
0.3307 0.0557 0.8870
0.0686 0.7949 0.8634
0.1806 0.6817 0.6364
0.2888 0.5702 0.8591
0.4186 0.4186 0.6119
```

Properties
Space-group type = No. 121
Total moment = 0.0 μB/f.u.
Density = 3.8 g/cm³

---

(ii)
## Li7Ti16O32 (GGA-PBEsol)

Data for Li7Ti16O32 after structural relaxation.

Cell and atoms, written as POSCAR:
```
Li7Ti16O32
1.0
5.0317 -0.0013 -0.0008
-0.0168 11.2658 0.0022
-0.0168 5.1976 9.9952
Li Ti O
7 16 32
Direct
0.4262 0.3288 0.3288
0.5643 0.6631 0.9244
0.5643 0.9244 0.6631
0.9369 0.9217 0.1748
0.9368 0.4198 0.6685
0.9369 0.1748 0.9217
0.9368 0.6685 0.4198
0.0250 0.7405 0.7405
0.0261 0.9987 0.4872
0.9965 0.2408 0.2408
0.0261 0.4872 0.9987
0.4786 0.7425 0.2397
0.4786 0.2397 0.7425
0.4699 0.4908 0.4908
0.4866 0.9928 0.9928
0.5207 0.7584 0.5060
0.5071 0.0109 0.2575
0.5071 0.2575 0.0109
0.5207 0.5060 0.7584
0.9903 0.7612 0.0038
0.9697 0.2495 0.5105
0.9697 0.5105 0.2495
0.9903 0.0038 0.7612
0.1975 0.9173 0.6709
0.1957 0.4166 0.1730
0.1957 0.1730 0.4166
0.1975 0.6709 0.9173
0.1957 0.6714 0.1764
0.2098 0.9242 0.9242
0.2067 0.4188 0.4188
0.1957 0.1764 0.6714
0.3020 0.9200 0.4283
0.2930 0.1747 0.1747
0.3031 0.6730 0.6730
0.3020 0.4283 0.9200
0.3029 0.6687 0.4203
0.3031 0.9195 0.1719
0.3031 0.1719 0.9195
0.3029 0.4203 0.6687
0.7103 0.3316 0.8283
0.7103 0.8283 0.3316
0.7102 0.0810 0.0810
0.7126 0.5804 0.5804
0.7195 0.8310 0.0825
0.7195 0.0825 0.8310
0.7106 0.3327 0.5788
0.7106 0.5788 0.3327
0.7976 0.0714 0.3299
0.7916 0.5816 0.8305
0.7976 0.3299 0.0714
0.7916 0.8305 0.5816
0.7869 0.8304 0.8304
0.7929 0.3317 0.3317
0.7972 0.5842 0.0778
0.7972 0.0778 0.5842
```

Properties
Space-group type = No. 8
Total moment = 6.7 μB/f.u.
Density = 3.9 g/cm³

---

(i) is preferred energetically. Next in line: 2.5 kJ/mol of atoms higher.